# 1
Entry from the Alexandria database: an optimized crystal structure of YMnPdPt (PBE).

## Properties
M_tot   18.23 Bohr magnetons per cell
ΔE_f   -0.636 eV/atom

a = 6.6689 Å, b = 6.6689 Å, c = 6.6689 Å
α = 90.00°, β = 90.00°, γ = 90.00°
With the nearest neighbours (Å) after each atom.
Space group F-43m (No. 216)
One atom of each set of equivalent atoms:
1 Y 0.0000 0.0000 0.0000 x4  4 Pd 2.89, 4 Pt 2.89
2 Mn 0.0000 0.0000 0.5000 x4  4 Pt 2.89, 4 Pd 2.89
3 Pd 0.2500 0.2500 0.2500 x4  4 Mn 2.89, 4 Y 2.89
4 Pt 0.2500 0.2500 0.7500 x4  4 Mn 2.89, 4 Y 2.89


# 2
Entry from the Alexandria database: an optimized crystal structure of PuMnPd4 (PBE).

## Properties
M_tot   39.11 Bohr magnetons per cell
ΔE_f   -0.238 eV/atom

a = 7.5623 Å, b = 7.5623 Å, c = 7.5623 Å
α = 90.00°, β = 90.00°, γ = 90.00°
With the nearest neighbours (Å) after each atom.
Space group F-43m (No. 216)
One atom of each set of equivalent atoms:
1 Pu 0.0000 0.0000 0.0000 x4  12 Pd 3.14, 4 Mn 3.27
2 Mn 0.2500 0.2500 0.2500 x4  12 Pd 3.13, 4 Pu 3.27
3 Pd 0.1246 0.1246 0.6246 x16  6 Pd 2.66-2.68


# 3
Entry from the Alexandria database: an optimized crystal structure of PuMnPd2 (PBE).

## Properties
M_tot   9.49 Bohr magnetons per cell
ΔE_f   -0.158 eV/atom

a = 4.7300 Å, b = 4.7300 Å, c = 3.3549 Å
α = 90.00°, β = 90.00°, γ = 90.00°
With the nearest neighbours (Å) after each atom.
Space group P4/mmm (No. 123)
One atom of each set of equivalent atoms:
1 Pu 0.0000 0.0000 0.0000 x1  8 Pd 2.90
2 Mn 0.5000 0.5000 0.0000 x1  8 Pd 2.90
3 Pd 0.0000 0.5000 0.5000 x2  4 Mn 2.90, 4 Pu 2.90


- Number 3 is which compound?
  PuMnPd2


- What is the ΔE_f in the third record?
  -0.158 eV/atom


- What is the M_tot in the second record?
  39.11 Bohr magnetons per cell


- ΔE_f of number 3 (PuMnPd2)?
  -0.158 eV/atom